{
  "formula": "SmDy4Y6",
  "functional": "GGA-PBE",
  "state": "relaxed",
  "crystal_system": "tetragonal",
  "formation_enthalpy_0k_ev_per_atom": 0.43,
  "magnetic_moment_mub_per_atom": 0.00,
  "total_energy_ev_per_atom": -5.20,
  "spacegroup": "I-42m (121)",
  "lattice_angstrom": [[7.612, 0.000, 0.000], [0.000, 7.612, 0.000], [-3.806, -3.806, 6.586]],
  "species": ["Y", "Sm", "Y", "Y", "Y", "Dy", "Dy", "Y", "Dy", "Y", "Dy"],
  "frac_coords": [[0.554, 0.554, 0.626], [0.500, 0.500, 0.000], [0.500, 0.000, 0.000], [0.072, 0.072, 0.626], [0.928, 0.446, 0.374], [0.758, 0.089, 0.847], [0.911, 0.911, 0.153], [0.000, 0.500, 0.000], [0.089, 0.758, 0.847], [0.446, 0.928, 0.374], [0.242, 0.242, 0.153]]
}